1.
Density functional theory data (PBE) for a relaxed ThZrAlCu crystal.

Output
total magnetization: 0.00 μB/f.u.
DFT formation energy: -0.116 eV per atom
V: 21.68 A^3/atom

Cell lengths 7.0263, 7.0263, 7.0263 Å; angles 90.00, 90.00, 90.00 degrees
Last column: nearest neighbours and their distance in Å.
Sites, in units of the cell vectors:
Th  0.0000  0.0000  0.0000  4 Al 3.04, 4 Cu 3.04
Th  0.0000  0.5000  0.5000  4 Al 3.04, 4 Cu 3.04
Th  0.5000  0.0000  0.5000  4 Al 3.04, 4 Cu 3.04
Th  0.5000  0.5000  0.0000  4 Al 3.04, 4 Cu 3.04
Zr  0.0000  0.0000  0.5000  4 Cu 3.04, 4 Al 3.04
Zr  0.0000  0.5000  0.0000  4 Cu 3.04, 4 Al 3.04
Zr  0.5000  0.0000  0.0000  4 Cu 3.04, 4 Al 3.04
Zr  0.5000  0.5000  0.5000  4 Cu 3.04, 4 Al 3.04
Al  0.2500  0.2500  0.7500  4 Zr 3.04, 4 Th 3.04
Al  0.2500  0.7500  0.2500  4 Zr 3.04, 4 Th 3.04
Al  0.7500  0.2500  0.2500  4 Zr 3.04, 4 Th 3.04
Al  0.7500  0.7500  0.7500  4 Zr 3.04, 4 Th 3.04
Cu  0.2500  0.2500  0.2500  4 Th 3.04, 4 Zr 3.04
Cu  0.2500  0.7500  0.7500  4 Th 3.04, 4 Zr 3.04
Cu  0.7500  0.2500  0.7500  4 Th 3.04, 4 Zr 3.04
Cu  0.7500  0.7500  0.2500  4 Th 3.04, 4 Zr 3.04


2.
Density functional theory data (PBE) for a relaxed BP2Br crystal.

Output
total magnetization: 0.00 μB/f.u.
offset from the most stable computed form: 0 meV per atom
V: 17.67 A^3/atom

Cell lengths 5.8585, 5.8585, 8.2384 Å; angles 90.00, 90.00, 90.00 degrees
Last column: nearest neighbours and their distance in Å.
Sites, in units of the cell vectors:
B  0.0000  0.0000  0.0000  4 P 1.98
B  0.0000  0.5000  0.2500  4 P 1.98
B  0.5000  0.0000  0.7500  4 P 1.98
B  0.5000  0.5000  0.5000  4 P 1.98
P  0.1431  0.2500  0.1250  2 B 1.98
P  0.2500  0.6431  0.3750  2 B 1.98
P  0.2500  0.8569  0.8750  2 B 1.98
P  0.3569  0.2500  0.6250  2 B 1.98
P  0.6431  0.7500  0.6250  2 B 1.98
P  0.7500  0.1431  0.8750  2 B 1.98
P  0.7500  0.3569  0.3750  2 B 1.98
P  0.8569  0.7500  0.1250  2 B 1.98
Br  0.0000  0.0000  0.5000  4 P 2.75
Br  0.0000  0.5000  0.7500  4 P 2.75
Br  0.5000  0.0000  0.2500  4 P 2.75
Br  0.5000  0.5000  0.0000  4 P 2.75


3.
Density functional theory data (PBE) for a relaxed Pm12Y7Mg crystal.

Output
total magnetization: 0.00 μB/f.u.
DFT formation energy: 0.695 eV per atom
V: 38.21 A^3/atom

Cell lengths 9.9757, 9.9757, 9.9757 Å; angles 109.47, 109.47, 109.47 degrees
Last column: nearest neighbours and their distance in Å.
Sites, in units of the cell vectors:
Pm  0.0011  0.2438  0.7573  2 Y 2.88
Pm  0.2427  0.4865  0.2438  2 Y 2.88
Pm  0.2427  0.9989  0.7562  2 Y 2.88
Pm  0.2438  0.2427  0.4865  2 Y 2.88
Pm  0.2438  0.7573  0.0011  2 Y 2.88
Pm  0.4865  0.2438  0.2427  2 Y 2.88
Pm  0.5135  0.7562  0.7573  2 Y 2.88
Pm  0.7562  0.2427  0.9989  2 Y 2.88
Pm  0.7562  0.7573  0.5135  2 Y 2.88
Pm  0.7573  0.0011  0.2438  2 Y 2.88
Pm  0.7573  0.5135  0.7562  2 Y 2.88
Pm  0.9989  0.7562  0.2427  2 Y 2.88
Y  0.0000  0.0000  0.5000  6 Pm 2.88
Y  0.0000  0.5000  0.0000  6 Pm 2.88
Y  0.0000  0.5000  0.5000  12 Pm 4.06-4.18
Y  0.5000  0.0000  0.0000  6 Pm 2.88
Y  0.5000  0.0000  0.5000  12 Pm 4.06-4.18
Y  0.5000  0.5000  0.0000  12 Pm 4.06-4.18
Y  0.5000  0.5000  0.5000  6 Pm 2.88
Mg  0.0000  0.0000  0.0000  12 Pm 3.96


4.
Density functional theory data (PBE) for a relaxed Gd4Co3B6 crystal.

Output
total magnetization: 2.30 μB/f.u.
DFT formation energy: -0.372 eV per atom
V: 13.89 A^3/atom

Cell lengths 8.0091, 8.0091, 8.0091 Å; angles 38.70, 38.70, 38.70 degrees
Last column: nearest neighbours and their distance in Å.
Sites, in units of the cell vectors:
Gd  0.0892  0.0892  0.0892  6 B 2.65
Gd  0.2438  0.2438  0.2438  6 B 2.66
Gd  0.7562  0.7562  0.7562  6 B 2.66
Gd  0.9108  0.9108  0.9108  6 B 2.65
Co  0.3869  0.3869  0.3869  6 B 2.13
Co  0.5000  0.5000  0.5000  2 Co 2.51
Co  0.6131  0.6131  0.6131  6 B 2.13
B  0.0000  0.3321  0.6679  3 B 1.76-1.78
B  0.0000  0.6679  0.3321  3 B 1.76-1.78
B  0.3321  0.0000  0.6679  3 B 1.76-1.78
B  0.3321  0.6679  0.0000  3 B 1.76-1.78
B  0.6679  0.0000  0.3321  3 B 1.76-1.78
B  0.6679  0.3321  0.0000  3 B 1.76-1.78


5.
Density functional theory data (PBE) for a relaxed AcHfFe2H8 crystal.

Output
total magnetization: 0.00 μB/f.u.
energy: -5.0547 eV/atom
V: 9.21 A^3/atom

Cell lengths 6.4437, 6.4437, 6.4437 Å; angles 42.48, 42.48, 42.48 degrees
Last column: nearest neighbours and their distance in Å.
Sites, in units of the cell vectors:
Ac  0.0000  0.0000  0.0000  6 H 2.47
Hf  0.5000  0.5000  0.5000  6 H 2.03
Fe  0.1935  0.1935  0.1935  7 H 1.66-1.76
Fe  0.8065  0.8065  0.8065  7 H 1.66-1.76
H  0.0841  0.8797  0.4027  2 Fe 1.66-1.76
H  0.1203  0.5973  0.9159  2 Fe 1.66-1.76
H  0.2885  0.2885  0.2885  1 Fe 1.67
H  0.4027  0.0841  0.8797  2 Fe 1.66-1.76
H  0.5973  0.9159  0.1203  2 Fe 1.66-1.76
H  0.7115  0.7115  0.7115  1 Fe 1.67
H  0.8797  0.4027  0.0841  2 Fe 1.66-1.76
H  0.9159  0.1203  0.5973  2 Fe 1.66-1.76


6.
Density functional theory data (PBE) for a relaxed Nd5HoIn5 crystal.

Output
total magnetization: 0.00 μB/f.u.
DFT formation energy: -0.241 eV per atom
V: 31.06 A^3/atom

Cell lengths 9.4858, 9.4858, 7.0446 Å; angles 111.62, 111.62, 35.78 degrees
Last column: nearest neighbours and their distance in Å.
Sites, in units of the cell vectors:
Nd  0.0000  0.0000  0.0000  4 In 3.34-3.35, 2 Ho 3.52, 4 Nd 3.71
Nd  0.3112  0.3112  0.3095  7 In 3.14-3.34
Nd  0.3617  0.3617  0.8593  6 In 3.53-3.66, 4 Nd 3.62-3.71
Nd  0.6383  0.6383  0.1407  6 In 3.53-3.66, 4 Nd 3.62-3.71
Nd  0.6888  0.6888  0.6905  7 In 3.14-3.34
Ho  0.0000  0.0000  0.5000  6 In 2.91-3.13
In  0.1628  0.1628  0.4414  1 In 3.12, 1 Ho 3.12, 4 Nd 3.16-3.35
In  0.1627  0.1627  0.8843  1 In 3.12, 1 Ho 3.13, 4 Nd 3.15-3.34
In  0.5000  0.5000  0.5000  2 Ho 2.91, 2 Nd 3.14
In  0.8373  0.8373  0.1157  1 In 3.12, 1 Ho 3.13, 4 Nd 3.15-3.34
In  0.8372  0.8372  0.5586  1 In 3.12, 1 Ho 3.12, 4 Nd 3.16-3.35


7.
Density functional theory data (PBE) for a relaxed PrLuPdAu crystal.

Output
total magnetization: 0.00 μB/f.u.
DFT formation energy: -0.799 eV per atom
V: 23.32 A^3/atom

Cell lengths 7.1993, 7.1993, 7.1993 Å; angles 90.00, 90.00, 90.00 degrees
Last column: nearest neighbours and their distance in Å.
Sites, in units of the cell vectors:
Pr  0.0000  0.0000  0.0000  4 Pd 3.12, 4 Au 3.12
Pr  0.0000  0.5000  0.5000  4 Pd 3.12, 4 Au 3.12
Pr  0.5000  0.0000  0.5000  4 Pd 3.12, 4 Au 3.12
Pr  0.5000  0.5000  0.0000  4 Pd 3.12, 4 Au 3.12
Lu  0.0000  0.0000  0.5000  4 Au 3.12, 4 Pd 3.12
Lu  0.0000  0.5000  0.0000  4 Au 3.12, 4 Pd 3.12
Lu  0.5000  0.0000  0.0000  4 Au 3.12, 4 Pd 3.12
Lu  0.5000  0.5000  0.5000  4 Au 3.12, 4 Pd 3.12
Pd  0.2500  0.2500  0.2500  4 Pr 3.12, 4 Lu 3.12
Pd  0.2500  0.7500  0.7500  4 Pr 3.12, 4 Lu 3.12
Pd  0.7500  0.2500  0.7500  4 Pr 3.12, 4 Lu 3.12
Pd  0.7500  0.7500  0.2500  4 Pr 3.12, 4 Lu 3.12
Au  0.2500  0.2500  0.7500  4 Pr 3.12, 4 Lu 3.12
Au  0.2500  0.7500  0.2500  4 Pr 3.12, 4 Lu 3.12
Au  0.7500  0.2500  0.2500  4 Pr 3.12, 4 Lu 3.12
Au  0.7500  0.7500  0.7500  4 Pr 3.12, 4 Lu 3.12


8.
Density functional theory data (PBE) for a relaxed Si4Ni2Se crystal.

Output
total magnetization: 0.00 μB/f.u.
energy: -4.5682 eV/atom
V: 18.26 A^3/atom

Cell lengths 4.6656, 4.6656, 11.7414 Å; angles 90.00, 90.00, 90.00 degrees
Last column: nearest neighbours and their distance in Å.
Sites, in units of the cell vectors:
Si  0.0000  0.0000  0.2202  1 Ni 2.14
Si  0.0000  0.0000  0.7798  1 Ni 2.14
Si  0.0000  0.5000  0.0000  2 Se 2.33, 4 Ni 2.60
Si  0.0000  0.5000  0.5000  2 Se 2.33, 4 Ni 2.60
Si  0.5000  0.0000  0.0000  2 Se 2.33, 4 Ni 2.60
Si  0.5000  0.0000  0.5000  2 Se 2.33, 4 Ni 2.60
Si  0.5000  0.5000  0.2798  1 Ni 2.14
Si  0.5000  0.5000  0.7202  1 Ni 2.14
Ni  0.0000  0.0000  0.4021  1 Si 2.14, 1 Ni 2.30
Ni  0.0000  0.0000  0.5979  1 Si 2.14, 1 Ni 2.30
Ni  0.5000  0.5000  0.0979  1 Si 2.14, 1 Ni 2.30
Ni  0.5000  0.5000  0.9021  1 Si 2.14, 1 Ni 2.30
Se  0.0000  0.0000  0.0000  6 Si 2.33-2.59
Se  0.5000  0.5000  0.5000  6 Si 2.33-2.59